Material: TaMnRhF2
Method: DFT, PBE+U
State: relaxed

The calculation puts the total DFT energy (no corrections) at -6.80 eV/atom.

It has space group P4/mmm (No. 123), with a = 3.754 Å, b = 3.754 Å, c = 6.328 Å, α = 90.00°, β = 90.00° and γ = 90.00°. The inequivalent atoms are Ta at (0.000, 0.000, 0.000), Mn at (0.500, 0.500, 0.500), Rh at (0.500, 0.500, 0.000) and F at (0.000, 0.500, 0.500).